# MoOs2O6 | Alexandria | GGA+U | optimized geometry
# Total energy, eV per atom: -7.6887
data_MoOs2O6
_chemical_formula_sum 'Mo1 Os2 O6'
_cell_length_a 4.8421
_cell_length_b 4.8421
_cell_length_c 5.0944
_cell_angle_alpha 90.00
_cell_angle_beta 90.00
_cell_angle_gamma 120.00
_symmetry_space_group_name_H-M 'P -3 1 m'
_symmetry_Int_Tables_number 162
_symmetry_space_group_name_Hall '-P 3 2'
loop_
_atom_site_label
_atom_site_fract_x
_atom_site_fract_y
_atom_site_fract_z
Mo1 0.0000 0.0000 0.0000
Os1 0.3333 0.6667 0.5000
O1 0.0000 0.3348 0.7358